Record 1
4
Lattice="0.000 4.038 4.038 4.038 0.000 4.038 4.038 4.038 0.000" Properties=species:S:1:pos:R:3 comment="CsBaRe2 | the Alexandria database | PBE | relaxed" formation_energy_ev_per_atom=2.50 total_magnetization_mub_per_cell=7.0 pbc="T T T"
Re 2.019 2.019 2.019
Re 6.058 6.058 6.058
Cs 0.000 0.000 0.000
Ba 4.038 4.038 4.038

Record 2
4
Lattice="-2.073 -5.428 -1.496 0.600 -4.595 3.811 -4.822 -2.241 2.780" Properties=species:S:1:pos:R:3 comment="CsBa2Re | the Alexandria database | PBE | relaxed" formation_energy_ev_per_atom=1.22 total_magnetization_mub_per_cell=2.0 pbc="T T T"
Re -3.148 -6.132 2.548
Cs 0.000 0.000 0.000
Ba -4.722 -9.198 3.822
Ba -1.574 -3.066 1.274

Record 3
10
Lattice="-0.385 -3.125 8.231 0.047 -8.240 -3.126 4.336 -0.046 0.185" Properties=species:S:1:pos:R:3 comment="CsBa2Rh2 | the Alexandria database | PBE | relaxed" formation_energy_ev_per_atom=0.19 total_magnetization_mub_per_cell=1.6 pbc="T T T"
Rh -0.108 -8.546 0.425
Cs -0.169 -5.682 2.552
Rh -0.314 -7.810 5.413
Ba 1.956 -9.041 2.822
Rh -0.024 -3.555 -0.308
Cs 0.000 0.000 0.000
Ba 2.042 -2.369 2.468
Ba 2.140 -5.884 -0.688
Rh -0.230 -2.818 4.680
Ba 1.859 -5.526 5.978

Number 3 is which compound? CsBa2Rh2